(1)
A relaxed structure of TbB4Ir4, computed with GGA-PBEsol.

Unit cell a=7.5601 b=7.5601 c=3.9685 alpha=90.00 beta=90.00 gamma=90.00
Closest atoms and distances in Å follow each position.
Fractional positions:
Tb  0.2500  0.2500  0.2500  8 B 2.87-3.11, 8 Ir 3.12-3.21
Tb  0.7500  0.7500  0.7500  8 B 2.87-3.11, 8 Ir 3.12-3.21
B  0.0285  0.9075  0.1386  1 B 1.83
B  0.0925  0.5285  0.6386  1 B 1.83
B  0.4075  0.9715  0.6386  1 B 1.83
B  0.4715  0.5925  0.1386  1 B 1.83
B  0.5285  0.4075  0.8614  1 B 1.83
B  0.5925  0.0285  0.3614  1 B 1.83
B  0.9075  0.4715  0.3614  1 B 1.83
B  0.9715  0.0925  0.8614  1 B 1.83
Ir  0.0919  0.6395  0.1372  4 B 2.08-2.16
Ir  0.1395  0.9081  0.6372  4 B 2.08-2.16
Ir  0.3605  0.5919  0.6372  4 B 2.08-2.16
Ir  0.4081  0.8605  0.1372  4 B 2.08-2.16
Ir  0.5919  0.1395  0.8628  4 B 2.08-2.16
Ir  0.6395  0.4081  0.3628  4 B 2.08-2.16
Ir  0.8605  0.0919  0.3628  4 B 2.08-2.16
Ir  0.9081  0.3605  0.8628  4 B 2.08-2.16

Output
Energy of formation from the pure elements: -5.12 eV per formula unit

(2)
A relaxed structure of TcB2Ir, computed with GGA-PBEsol.

Unit cell a=3.8246 b=3.8246 c=3.8246 alpha=60.00 beta=60.00 gamma=60.00
Closest atoms and distances in Å follow each position.
Fractional positions:
Tc  0.0000  0.0000  0.0000  8 B 2.34
B  0.2500  0.2500  0.2500  4 Tc 2.34, 4 Ir 2.34
B  0.7500  0.7500  0.7500  4 Tc 2.34, 4 Ir 2.34
Ir  0.5000  0.5000  0.5000  8 B 2.34

Output
Energy of formation from the pure elements: 0.21 eV per formula unit

(3)
A relaxed structure of B3TeIr, computed with GGA-PBEsol.

Unit cell a=4.2720 b=4.2720 c=4.2720 alpha=90.00 beta=90.00 gamma=90.00
Closest atoms and distances in Å follow each position.
Fractional positions:
B  0.0000  0.0000  0.5000  2 Te 2.14
B  0.0000  0.5000  0.0000  2 Te 2.14
B  0.5000  0.0000  0.0000  2 Te 2.14
Te  0.0000  0.0000  0.0000  6 B 2.14
Ir  0.5000  0.5000  0.5000  12 B 3.02

Output
Formation energy (no corrections): 2.71 eV per atom

Number 1: calculated volume 227 Å³/cell, total magnetic moment 0.0 Bohr magnetons per cell. Number 2: calculated volume 40 Å³/cell, total magnetic moment 0.0 Bohr magnetons per cell. Number 3: calculated volume 78 Å³/cell, total magnetic moment 0.0 Bohr magnetons per cell.